1.
Compound: Ac2LuI
Source: Alexandria
Functional: PBE-GGA
Structure: relaxed

a = 3.911 Å, b = 3.911 Å, c = 10.014 Å
α = 90.00°, β = 90.00°, γ = 90.00°
Space group P4/mmm (No. 123)
Symmetry-distinct sites (fractional):
Ac: 0.000 0.000 0.249 x2
Lu: 0.500 0.500 0.000 x1
I: 0.500 0.500 0.500 x1

Calculated values
M_tot = 0.00 μB/cell
E = -3.930 eV per atom
Density = 8.19 Mg/m³
V = 38.3 Å³/atom


2.
Compound: AcMg2I8
Source: Alexandria
Functional: PBE-GGA
Structure: relaxed

a = 12.574 Å, b = 13.618 Å, c = 7.239 Å
α = 90.00°, β = 98.82°, γ = 90.00°
Space group C2/m (No. 12)
Symmetry-distinct sites (fractional):
Ac: 0.000 0.000 0.000 x2
Mg: 0.245 0.000 0.684 x4
I: 0.031 0.500 0.235 x4
I: 0.133 0.161 0.784 x8
I: 0.222 0.000 0.299 x4

Calculated values
M_tot = 0.00 μB/cell
E = -2.824 eV per atom
Density = 3.50 Mg/m³
V = 55.7 Å³/atom


3.
Compound: AcMgI2
Source: Alexandria
Functional: PBE-GGA
Structure: relaxed

a = 4.1390 Å, b = 4.1390 Å, c = 34.8153 Å
α = 90.00°, β = 90.00°, γ = 120.00°
Space group R-3m (No. 166, hexagonal axes)
Symmetry-distinct sites (fractional):
Ac: 0.0000 0.0000 0.0000 x3
Mg: 0.0000 0.0000 0.5000 x3
I: 0.0000 0.0000 0.4018 x6

Calculated values
M_tot = 0.00 μB/cell
E = -2.908 eV per atom
Density = 4.87 Mg/m³
V = 43.0 Å³/atom


4.
Compound: AcMgI4
Source: Alexandria
Functional: PBE-GGA
Structure: relaxed

a = 7.825 Å, b = 4.172 Å, c = 8.366 Å
α = 90.00°, β = 95.15°, γ = 90.00°
Space group P2/m (No. 10)
Symmetry-distinct sites (fractional):
Ac: 0.000 0.000 0.000 x1
Mg: 0.000 0.500 0.500 x1
I: 0.213 0.000 0.365 x2
I: 0.244 0.500 0.800 x2

Calculated values
M_tot = 0.00 μB/cell
E = -3.140 eV per atom
Density = 4.63 Mg/m³
V = 45.3 Å³/atom


5.
Compound: AcMg2I6
Source: Alexandria
Functional: PBE-GGA
Structure: relaxed

a = 15.841 Å, b = 4.336 Å, c = 12.988 Å
α = 90.00°, β = 98.10°, γ = 90.00°
Space group C2/m (No. 12)
Symmetry-distinct sites (fractional):
Ac: 0.000 0.000 0.000 x2
Mg: 0.216 0.500 0.728 x4
I: 0.109 0.000 0.237 x4
I: 0.137 0.500 0.910 x4
I: 0.153 0.000 0.610 x4

Calculated values
M_tot = 0.02 μB/cell
E = -2.917 eV per atom
Density = 3.90 Mg/m³
V = 49.1 Å³/atom


6.
Compound: Ac2MgI8
Source: Alexandria
Functional: PBE-GGA
Structure: relaxed

a = 16.659 Å, b = 7.654 Å, c = 8.187 Å
α = 90.00°, β = 90.37°, γ = 90.00°
Space group C2/m (No. 12)
Symmetry-distinct sites (fractional):
Ac: 0.125 0.000 0.450 x4
Mg: 0.000 0.000 0.000 x2
I: 0.025 0.249 0.731 x8
I: 0.173 0.000 0.073 x4
I: 0.194 0.500 0.415 x4

Calculated values
M_tot = 0.00 μB/cell
E = -3.347 eV per atom
Density = 4.75 Mg/m³
V = 47.4 Å³/atom


7.
Compound: AcMgI6
Source: Alexandria
Functional: PBE-GGA
Structure: relaxed

a = 7.746 Å, b = 7.748 Å, c = 8.048 Å
α = 61.78°, β = 61.86°, γ = 60.04°
Space group P-1 (No. 2)
Symmetry-distinct sites (fractional):
Ac: 0.000 0.000 0.000 x1
Mg: 0.500 0.500 0.500 x1
I: 0.094 0.441 0.741 x2
I: 0.275 0.908 0.262 x2
I: 0.444 0.721 0.744 x2

Calculated values
M_tot = 0.00 μB/cell
E = -2.874 eV per atom
Density = 4.79 Mg/m³
V = 43.8 Å³/atom


8.
Compound: AcMgI
Source: Alexandria
Functional: PBE-GGA
Structure: relaxed

a = 4.146 Å, b = 7.341 Å, c = 8.016 Å
α = 76.17°, β = 89.92°, γ = 73.79°
Space group P-1 (No. 2)
Symmetry-distinct sites (fractional):
Ac: 0.178 0.143 0.168 x2
Mg: 0.458 0.583 0.162 x2
I: 0.147 0.212 0.587 x2

Calculated values
M_tot = 0.00 μB/cell
E = -2.893 eV per atom
Density = 5.54 Mg/m³
V = 37.8 Å³/atom


9.
Compound: Ac2MgI2N2
Source: Alexandria
Functional: PBE-GGA
Structure: relaxed

a = 4.289 Å, b = 4.289 Å, c = 21.547 Å
α = 90.00°, β = 90.00°, γ = 90.00°
Space group I4/mmm (No. 139)
Symmetry-distinct sites (fractional):
Ac: 0.000 0.000 0.075 x4
Mg: 0.000 0.000 0.500 x2
I: 0.000 0.000 0.338 x4
N: 0.000 0.500 0.000 x4

Calculated values
M_tot = 0.00 μB/cell
E = -5.494 eV per atom
Density = 6.37 Mg/m³
V = 28.3 Å³/atom


10.
Compound: AcMgIO6
Source: Alexandria
Functional: PBE-GGA
Structure: relaxed

a = 5.3186 Å, b = 5.3186 Å, c = 5.3332 Å
α = 90.00°, β = 90.00°, γ = 120.00°
Space group P312 (No. 149)
Symmetry-distinct sites (fractional):
Ac: 0.0000 0.0000 0.0000 x1
Mg: 0.3333 0.6667 0.5000 x1
I: 0.6667 0.3333 0.5000 x1
O: 0.3870 0.0270 0.7048 x6

Calculated values
M_tot = 0.00 μB/cell
E = -5.976 eV per atom
Density = 6.03 Mg/m³
V = 14.5 Å³/atom


11.
Compound: AcMgSnI
Source: Alexandria
Functional: PBE-GGA
Structure: relaxed

a = 4.8293 Å, b = 4.8293 Å, c = 46.3577 Å
α = 90.00°, β = 90.00°, γ = 120.00°
Space group R-3m (No. 166, hexagonal axes)
Symmetry-distinct sites (fractional):
Ac: 0.0000 0.0000 0.0809 x6
Mg: 0.0000 0.0000 0.3114 x6
Sn: 0.0000 0.0000 0.3755 x6
I: 0.0000 0.0000 0.2083 x6

Calculated values
M_tot = 0.00 μB/cell
E = -3.672 eV per atom
Density = 5.29 Mg/m³
V = 39.0 Å³/atom


12.
Compound: AcMgTlI
Source: Alexandria
Functional: PBE-GGA
Structure: relaxed

a = 4.7228 Å, b = 4.7228 Å, c = 48.0325 Å
α = 90.00°, β = 90.00°, γ = 120.00°
Space group R-3m (No. 166, hexagonal axes)
Symmetry-distinct sites (fractional):
Ac: 0.0000 0.0000 0.0832 x6
Mg: 0.0000 0.0000 0.3142 x6
Tl: 0.0000 0.0000 0.3755 x6
I: 0.0000 0.0000 0.2064 x6

Calculated values
M_tot = 0.00 μB/cell
E = -3.006 eV per atom
Density = 6.26 Mg/m³
V = 38.7 Å³/atom


13.
Compound: AcMnI6
Source: Alexandria
Functional: PBE-GGA
Structure: relaxed

a = 7.4885 Å, b = 7.4885 Å, c = 20.9505 Å
α = 90.00°, β = 90.00°, γ = 120.00°
Space group R-3 (No. 148, hexagonal axes)
Symmetry-distinct sites (fractional):
Ac: 0.0000 0.0000 0.0000 x3
Mn: 0.0000 0.0000 0.5000 x3
I: 0.0164 0.6479 0.0899 x18

Calculated values
M_tot = 11.92 μB/cell
E = -3.642 eV per atom
Density = 5.11 Mg/m³
V = 42.4 Å³/atom


14.
Compound: Ac4MnI5
Source: Alexandria
Functional: PBE-GGA
Structure: relaxed

a = 21.068 Å, b = 4.447 Å, c = 9.740 Å
α = 90.00°, β = 103.83°, γ = 90.00°
Space group C2/m (No. 12)
Symmetry-distinct sites (fractional):
Ac: 0.001 0.000 0.288 x4
Ac: 0.148 0.500 0.586 x4
Mn: 0.000 0.500 0.500 x2
I: 0.000 0.500 0.000 x2
I: 0.167 0.000 0.854 x4
I: 0.176 0.000 0.336 x4

Calculated values
M_tot = 5.26 μB/cell
E = -4.286 eV per atom
Density = 5.99 Mg/m³
V = 44.3 Å³/atom


15.
Compound: AcMn2I8
Source: Alexandria
Functional: PBE-GGA
Structure: relaxed

a = 12.658 Å, b = 12.761 Å, c = 7.428 Å
α = 90.00°, β = 101.03°, γ = 90.00°
Space group C2/m (No. 12)
Symmetry-distinct sites (fractional):
Ac: 0.000 0.000 0.000 x2
Mn: 0.220 0.000 0.667 x4
I: 0.073 0.500 0.208 x4
I: 0.118 0.169 0.772 x8
I: 0.227 0.000 0.310 x4

Calculated values
M_tot = 17.97 μB/cell
E = -3.924 eV per atom
Density = 3.81 Mg/m³
V = 53.5 Å³/atom